[1]
DFT (PBE) results for an optimized crystal structure of Ho5SnBi2.

Lattice parameters (Å, degrees): 5.960 6.547 14.230 90.00 90.00 117.08
Sites, in units of the cell vectors:
1 Bi 0.802 0.605 0.387
2 Ho 0.622 0.243 0.551
3 Ho 0.924 0.848 0.898
4 Ho 0.378 0.757 0.051
5 Bi 0.198 0.395 0.887
6 Bi 0.802 0.605 0.113
7 Ho 0.076 0.152 0.102
8 Sn 0.274 0.548 0.250
9 Ho 0.924 0.848 0.602
10 Ho 0.622 0.243 0.949
11 Ho 0.418 0.835 0.750
12 Bi 0.198 0.395 0.613
13 Ho 0.076 0.152 0.398
14 Sn 0.726 0.452 0.750
15 Ho 0.378 0.757 0.449
16 Ho 0.582 0.165 0.250

Density of states at the Fermi level (states/eV per atom): 0.998
Energy of formation (meV per atom): -315

[2]
DFT (PBE) results for an optimized crystal structure of HoSnBi.

Lattice parameters (Å, degrees): 4.471 4.560 8.556 105.45 90.00 90.00
Sites, in units of the cell vectors:
1 Bi 0.250 0.750 0.499
2 Ho 0.750 0.903 0.806
3 Sn 0.750 0.562 0.123
4 Bi 0.750 0.250 0.501
5 Sn 0.250 0.438 0.877
6 Ho 0.250 0.097 0.194

Density of states at the Fermi level (states/eV per atom): 0.368
Relative energy among the computed polymorphs (eV/atom): 0.000
Energy of formation (meV per atom): -561

[3]
DFT (PBE) results for an optimized crystal structure of HoSn2Bi.

Lattice parameters (Å, degrees): 4.926 4.737 4.737 90.00 90.00 90.00
Sites, in units of the cell vectors:
1 Ho 0.500 0.500 0.500
2 Sn 0.000 0.500 0.000
3 Sn 0.000 0.000 0.500
4 Bi 0.500 0.000 0.000

Density of states at the Fermi level (states/eV per atom): 0.671
Relative energy among the computed polymorphs (eV/atom): 0.000
Energy of formation (meV per atom): -347

[4]
DFT (PBE) results for an optimized crystal structure of Ho6SnBi5.

Lattice parameters (Å, degrees): 7.692 7.692 7.728 99.54 99.54 120.01
Sites, in units of the cell vectors:
1 Ho 0.245 0.245 0.752
2 Bi 0.169 0.831 0.500
3 Ho 0.755 0.755 0.248
4 Ho 0.082 0.410 0.246
5 Bi 0.500 0.500 0.500
6 Bi 0.334 0.666 0.000
7 Bi 0.666 0.334 0.000
8 Ho 0.590 0.918 0.754
9 Bi 0.831 0.169 0.500
10 Ho 0.918 0.590 0.754
11 Sn 0.000 0.000 0.000
12 Ho 0.410 0.082 0.246

Density of states at the Fermi level (states/eV per atom): 0.304
Energy of formation (meV per atom): -781

[5]
DFT (PBE) results for an optimized crystal structure of Ho8SnBi2.

Lattice parameters (Å, degrees): 5.176 6.872 9.590 87.75 105.66 90.00
Sites, in units of the cell vectors:
1 Bi 0.833 0.177 0.666
2 Bi 0.167 0.823 0.334
3 Ho 0.784 0.629 0.567
4 Ho 0.216 0.371 0.433
5 Ho 0.660 0.087 0.321
6 Ho 0.592 0.563 0.183
7 Ho 0.032 0.251 0.063
8 Ho 0.408 0.437 0.817
9 Ho 0.340 0.913 0.679
10 Sn 0.500 0.000 0.000
11 Ho 0.968 0.749 0.937

Density of states at the Fermi level (states/eV per atom): 1.149
Energy of formation (meV per atom): -372

[6]
DFT (PBE) results for an optimized crystal structure of HoSn4Bi.

Lattice parameters (Å, degrees): 6.195 6.195 6.195 60.00 60.00 60.00
Sites, in units of the cell vectors:
1 Ho 0.000 0.000 0.000
2 Sn 0.124 0.625 0.625
3 Bi 0.250 0.250 0.250
4 Sn 0.625 0.625 0.124
5 Sn 0.625 0.124 0.625
6 Sn 0.625 0.625 0.625

Density of states at the Fermi level (states/eV per atom): 0.524
Energy of formation (meV per atom): -90

Copy entry 1 word for word.
DFT (PBE) results for an optimized crystal structure of Ho5SnBi2.

Lattice parameters (Å, degrees): 5.960 6.547 14.230 90.00 90.00 117.08
Sites, in units of the cell vectors:
1 Bi 0.802 0.605 0.387
2 Ho 0.622 0.243 0.551
3 Ho 0.924 0.848 0.898
4 Ho 0.378 0.757 0.051
5 Bi 0.198 0.395 0.887
6 Bi 0.802 0.605 0.113
7 Ho 0.076 0.152 0.102
8 Sn 0.274 0.548 0.250
9 Ho 0.924 0.848 0.602
10 Ho 0.622 0.243 0.949
11 Ho 0.418 0.835 0.750
12 Bi 0.198 0.395 0.613
13 Ho 0.076 0.152 0.398
14 Sn 0.726 0.452 0.750
15 Ho 0.378 0.757 0.449
16 Ho 0.582 0.165 0.250

Density of states at the Fermi level (states/eV per atom): 0.998
Energy of formation (meV per atom): -315